DFT (GGA-PBE) results for an optimized crystal structure of BaRuCl3.

The crystal system is cubic. The uncorrected formation energy comes out at -1.061 eV per atom. The theoretical density is 4.8 g cm⁻³.

The structure belongs to space group Pm-3m (No. 221); the cell edges are 4.913, 4.913 and 4.913 Å and the angles 90.00°, 90.00° and 90.00°. The inequivalent atoms are Ba at (0.000, 0.000, 0.000), Ru at (0.500, 0.500, 0.500) and Cl at (0.000, 0.500, 0.500).

=====

DFT (GGA-PBE) results for an optimized crystal structure of LiMg2Al.

The crystal system is trigonal. The theoretical density is 1.7 g cm⁻³.

The structure belongs to space group R3m (No. 160, hexagonal axes); the cell edges are 3.0912, 3.0912 and 29.1031 Å and the angles 90.00°, 90.00° and 120.00°. The inequivalent atoms are Li at (0.0000, 0.0000, 0.0000), Mg at (0.0000, 0.0000, 0.4173), Mg at (0.0000, 0.0000, 0.5814) and Al at (0.0000, 0.0000, 0.1660).

=====

DFT (GGA-PBE) results for an optimized crystal structure of YMg2ScAu4.

The crystal system is trigonal. The theoretical density is 10.1 g cm⁻³.

The structure belongs to space group R-3m (No. 166, hexagonal axes); the cell edges are 4.8013, 4.8013 and 23.9045 Å and the angles 90.00°, 90.00° and 120.00°. The inequivalent atoms are Y at (0.0000, 0.0000, 0.0000), Mg at (0.0000, 0.0000, 0.2480), Sc at (0.0000, 0.0000, 0.5000), Au at (0.0000, 0.0000, 0.1286) and Au at (0.0000, 0.0000, 0.3816).

=====

DFT (GGA-PBE) results for an optimized crystal structure of KIn2P.

The crystal system is monoclinic. The theoretical density is 4.0 g cm⁻³.

The structure belongs to space group Cm (No. 8); the cell edges are 9.183, 3.954 and 7.208 Å and the angles 90.00°, 106.00° and 90.00°. The inequivalent atoms are K at (0.000, 0.000, 0.000), In at (0.060, 0.500, 0.570), In at (0.291, 0.500, 0.365) and P at (0.289, 0.000, 0.668).

=====

DFT (GGA-PBE) results for an optimized crystal structure of CaPb3Br.

The crystal system is cubic. The uncorrected formation energy comes out at 0.152 eV per atom. The theoretical density is 6.5 g cm⁻³.

The structure belongs to space group Pm-3m (No. 221); the cell edges are 5.756, 5.756 and 5.756 Å and the angles 90.00°, 90.00° and 90.00°. The inequivalent atoms are Ca at (0.000, 0.000, 0.000), Pb at (0.000, 0.500, 0.500) and Br at (0.500, 0.500, 0.500).

=====

DFT (GGA-PBE) results for an optimized crystal structure of DyScInOs.

The crystal system is tetragonal. The theoretical density is 9.9 g cm⁻³.

The structure belongs to space group P4mm (No. 99); the cell edges are 3.347, 3.347 and 7.698 Å and the angles 90.00°, 90.00° and 90.00°. The inequivalent atoms are Dy at (0.000, 0.000, 0.000), Sc at (0.000, 0.000, 0.585), In at (0.500, 0.500, 0.314) and Os at (0.500, 0.500, 0.772).

=====

DFT (GGA-PBE) results for an optimized crystal structure of Tb9HoTm2.

The crystal system is tetragonal. The theoretical density is 8.5 g cm⁻³.

The structure belongs to space group P4/mmm (No. 123); the cell edges are 5.005, 5.005 and 15.011 Å and the angles 90.00°, 90.00° and 90.00°. The inequivalent atoms are Tb at (0.000, 0.000, 0.000), Tb at (0.000, 0.000, 0.334), Tb at (0.000, 0.500, 0.167), Tb at (0.000, 0.500, 0.500), Ho at (0.500, 0.500, 0.000) and Tm at (0.500, 0.500, 0.334).

=====

DFT (GGA-PBE) results for an optimized crystal structure of Sr4Ga3.

The crystal system is trigonal. The theoretical density is 3.9 g cm⁻³.

The structure belongs to space group P-3 (No. 147); the cell edges are 13.6951, 13.6951 and 4.4248 Å and the angles 90.00°, 90.00° and 120.00°. The inequivalent atoms are Sr at (0.0219, 0.7727, 0.2505), Sr at (0.1341, 0.5184, 0.2502), Ga at (0.0000, 0.0000, 0.5000), Ga at (0.1705, 0.7238, 0.7503) and Ga at (0.3333, 0.6667, 0.7510).

=====

DFT (GGA-PBE) results for an optimized crystal structure of Tb2Sm3Er.

The crystal system is orthorhombic. The theoretical density is 8.0 g cm⁻³.

The structure belongs to space group Cmcm (No. 63); the cell edges are 10.790, 6.230 and 11.590 Å and the angles 90.00°, 90.00° and 90.00°. The inequivalent atoms are Tb at (0.167, 0.167, 0.250), Sm at (0.000, 0.000, 0.000), Sm at (0.166, 0.500, 0.000) and Er at (0.000, 0.333, 0.750).

=====

DFT (GGA-PBE) results for an optimized crystal structure of Li2HoNpTe4.

The crystal system is monoclinic. The uncorrected formation energy comes out at -1.027 eV per atom. The theoretical density is 6.6 g cm⁻³.

The structure belongs to space group P2/m (No. 10); the cell edges are 7.489, 4.367 and 7.554 Å and the angles 90.00°, 109.77° and 90.00°. The inequivalent atoms are Li at (0.000, 0.000, 0.000), Li at (0.000, 0.500, 0.500), Ho at (0.500, 0.000, 0.500), Np at (0.500, 0.500, 0.000), Te at (0.243, 0.000, 0.744) and Te at (0.244, 0.500, 0.252).

=====

DFT (GGA-PBE) results for an optimized crystal structure of Ta2CdSi.

The crystal system is tetragonal. The uncorrected formation energy comes out at 0.190 eV per atom. The theoretical density is 12.0 g cm⁻³.

The structure belongs to space group P4/mmm (No. 123); the cell edges are 4.053, 4.053 and 4.230 Å and the angles 90.00°, 90.00° and 90.00°. The inequivalent atoms are Ta at (0.000, 0.500, 0.000), Cd at (0.000, 0.000, 0.500) and Si at (0.500, 0.500, 0.500).

=====

DFT (GGA-PBE) results for an optimized crystal structure of LaHo2Th.

The crystal system is orthorhombic. The theoretical density is 8.9 g cm⁻³.

The structure belongs to space group Cmmm (No. 65); the cell edges are 7.253, 9.970 and 3.606 Å and the angles 90.00°, 90.00° and 90.00°. The inequivalent atoms are La at (0.000, 0.000, 0.000), Ho at (0.250, 0.250, 0.500) and Th at (0.000, 0.500, 0.000).

=====

DFT (GGA-PBE) results for an optimized crystal structure of Tm5TlSe4.

The crystal system is tetragonal. The uncorrected formation energy comes out at -1.399 eV per atom. The theoretical density is 9.3 g cm⁻³.

The structure belongs to space group I4/m (No. 87); the cell edges are 9.171, 9.171 and 5.789 Å and the angles 90.00°, 90.00° and 90.00°. The inequivalent atoms are Tm at (0.000, 0.000, 0.000), Tm at (0.101, 0.304, 0.500), Tl at (0.000, 0.000, 0.500) and Se at (0.100, 0.301, 0.000).

=====

DFT (GGA-PBE) results for an optimized crystal structure of ZrTcPb.

The crystal system is tetragonal. The theoretical density is 10.8 g cm⁻³.

The structure belongs to space group I4mm (No. 107); the cell edges are 3.440, 3.440 and 10.280 Å and the angles 90.00°, 90.00° and 90.00°. The inequivalent atoms are Zr at (0.000, 0.000, 0.000), Tc at (0.000, 0.000, 0.643) and Pb at (0.000, 0.000, 0.304).

=====

DFT (GGA-PBE) results for an optimized crystal structure of ScTc2Pb.

The crystal system is tetragonal. The theoretical density is 10.2 g cm⁻³.

The structure belongs to space group I4/mmm (No. 139); the cell edges are 4.164, 4.164 and 8.403 Å and the angles 90.00°, 90.00° and 90.00°. The inequivalent atoms are Sc at (0.000, 0.000, 0.000), Tc at (0.000, 0.500, 0.250) and Pb at (0.000, 0.000, 0.500).

=====

DFT (GGA-PBE) results for an optimized crystal structure of MgTc2Sb2.

The crystal system is tetragonal. The uncorrected formation energy comes out at 0.313 eV per atom. The theoretical density is 7.1 g cm⁻³.

The structure belongs to space group I4/mmm (No. 139); the cell edges are 4.495, 4.495 and 10.715 Å and the angles 90.00°, 90.00° and 90.00°. The inequivalent atoms are Mg at (0.000, 0.000, 0.000), Tc at (0.000, 0.000, 0.389) and Sb at (0.000, 0.500, 0.250).

=====

DFT (GGA-PBE) results for an optimized crystal structure of Pm6HRh2I3.

The crystal system is monoclinic. The theoretical density is 6.9 g cm⁻³.

The structure belongs to space group C2/m (No. 12); the cell edges are 7.101, 12.249 and 8.409 Å and the angles 90.00°, 106.38° and 90.00°. The inequivalent atoms are Pm at (0.227, 0.000, 0.185), Pm at (0.227, 0.334, 0.184), H at (0.000, 0.500, 0.000), Rh at (0.000, 0.167, 0.000), I at (0.000, 0.000, 0.500) and I at (0.000, 0.332, 0.500).

=====

DFT (GGA-PBE) results for an optimized crystal structure of KRe3N.

The crystal system is cubic. The uncorrected formation energy comes out at 5.126 eV per atom. The theoretical density is 11.0 g cm⁻³.

The structure belongs to space group Pm-3m (No. 221); the cell edges are 4.513, 4.513 and 4.513 Å and the angles 90.00°, 90.00° and 90.00°. The inequivalent atoms are K at (0.000, 0.000, 0.000), Re at (0.000, 0.000, 0.500) and N at (0.500, 0.500, 0.500).

=====

DFT (GGA-PBE) results for an optimized crystal structure of As5Br.

The crystal system is monoclinic. The uncorrected formation energy comes out at 0.092 eV per atom. The theoretical density is 3.7 g cm⁻³.

The structure belongs to space group Cm (No. 8); the cell edges are 11.482, 3.614 and 9.858 Å and the angles 90.00°, 98.89° and 90.00°. The inequivalent atoms are As at (0.000, 0.000, 0.000), As at (0.037, 0.500, 0.514), As at (0.122, 0.000, 0.384), As at (0.349, 0.000, 0.993), As at (0.426, 0.500, 0.222) and Br at (0.183, 0.500, 0.726).

=====

DFT (GGA-PBE) results for an optimized crystal structure of Na2Sr3N.

The crystal system is hexagonal. The uncorrected formation energy comes out at -0.190 eV per atom. The theoretical density is 2.4 g cm⁻³.

The structure belongs to space group P6_3/mmc (No. 194); the cell edges are 8.6547, 8.6547 and 6.9362 Å and the angles 90.00°, 90.00° and 120.00°. The inequivalent atoms are Na at (0.3333, 0.6667, 0.0403), Sr at (0.1301, 0.2603, 0.7500) and N at (0.0000, 0.0000, 0.0000).

=====

DFT (GGA-PBE) results for an optimized crystal structure of LiPrCu2.

The crystal system is tetragonal. The theoretical density is 6.1 g cm⁻³.

The structure belongs to space group P4/mmm (No. 123); the cell edges are 3.395, 3.395 and 6.480 Å and the angles 90.00°, 90.00° and 90.00°. The inequivalent atoms are Li at (0.000, 0.000, 0.000), Pr at (0.000, 0.000, 0.500) and Cu at (0.500, 0.500, 0.191).

=====

DFT (GGA-PBE) results for an optimized crystal structure of PrCd4Pd2.

The crystal system is tetragonal. The theoretical density is 8.7 g cm⁻³.

The structure belongs to space group P4_2/mnm (No. 136); the cell edges are 8.287, 8.287 and 4.468 Å and the angles 90.00°, 90.00° and 90.00°. The inequivalent atoms are Pr at (0.000, 0.000, 0.000), Cd at (0.098, 0.345, 0.500) and Pd at (0.203, 0.797, 0.500).

=====

DFT (GGA-PBE) results for an optimized crystal structure of UPRu2.

The crystal system is tetragonal. The theoretical density is 11.6 g cm⁻³.

The structure belongs to space group P4/nmm (No. 129, origin choice 2); the cell edges are 3.826, 3.826 and 9.179 Å and the angles 90.00°, 90.00° and 90.00°. The inequivalent atoms are U at (0.250, 0.250, 0.215), P at (0.250, 0.250, 0.647), Ru at (0.250, 0.250, 0.903) and Ru at (0.250, 0.750, 0.500).

=====

DFT (GGA-PBE) results for an optimized crystal structure of CdOsAu.

The crystal system is tetragonal. The theoretical density is 16.0 g cm⁻³.

The structure belongs to space group I4mm (No. 107); the cell edges are 2.833, 2.833 and 12.915 Å and the angles 90.00°, 90.00° and 90.00°. The inequivalent atoms are Cd at (0.000, 0.000, 0.000), Os at (0.000, 0.000, 0.336) and Au at (0.000, 0.000, 0.678).

=====

DFT (GGA-PBE) results for an optimized crystal structure of ZnGe2PtW.

The crystal system is tetragonal. The theoretical density is 8.3 g cm⁻³.

The structure belongs to space group P4/mmm (No. 123); the cell edges are 4.891, 4.891 and 4.942 Å and the angles 90.00°, 90.00° and 90.00°. The inequivalent atoms are Zn at (0.000, 0.000, 0.000), Ge at (0.000, 0.500, 0.500), Pt at (0.500, 0.500, 0.000) and W at (0.500, 0.500, 0.500).

=====

DFT (GGA-PBE) results for an optimized crystal structure of Tb3Mg.

The crystal system is cubic. The theoretical density is 7.0 g cm⁻³.

The structure belongs to space group Pm-3m (No. 221); the cell edges are 4.918, 4.918 and 4.918 Å and the angles 90.00°, 90.00° and 90.00°. The inequivalent atoms are Tb at (0.000, 0.000, 0.500) and Mg at (0.500, 0.500, 0.500).

=====

Ordered E_tot results: -4.409; -2.218; -4.403; -3.082; -2.808; -6.653; -4.579; -2.584; -4.667; -5.266; -7.320; -5.340; -5.265; -7.471; -7.366; -5.801; -5.056; -4.227; -4.062; -2.858; -3.738; -3.116; -9.326; -4.602; -5.106; -3.851; unit eV/atom.
Ordered M_tot results: 0.00; 0.00; 0.00; 0.00; 0.00; 0.00; 0.00; 0.00; 0.00; 4.00; 0.00; 0.00; 0.00; 0.00; 2.05; 0.00; 0.00; 1.53; 0.00; 0.00; 0.00; 0.00; 0.92; 0.63; 0.00; 0.00; unit μB/f.u..